Below is an optimized crystal structure of AlMoN2F, with properties calculated at the PBE+U level.

abc: 3.838 3.838 5.529
angles: 90.00 90.00 90.00
Atoms (fractional coordinates):
Al (0.000, 0.000, 0.000)
Mo (0.000, 0.000, 0.500)
N (0.000, 0.500, 0.500)
N (0.500, 0.000, 0.500)
F (0.500, 0.500, 0.000)

Output
Its energy is -0.407 Ry/atom. Its energy above the most stable polymorph in this dataset is 726.1 meV/atom. The value obtained for the volume is 81.4 Å³ per cell.